Compound: Na2TlVF6
Source: Alexandria
Functional: PBE with a Hubbard U
Structure: optimized geometry

Energy above the lowest structure with this stoichiometry: 0 meV per atom
Total magnetization: 4.0 μB per cell
Theoretical density: 4.40 g cm⁻³

Geometry as CIF:
```
data_Na2TlVF6
_space_group_name_H-M_alt 'P 1 21/c 1'
_space_group_IT_number 14
_space_group_name_Hall '-P 2ybc'
_cell_length_a 5.991
_cell_length_b 6.039
_cell_length_c 10.477
_cell_angle_alpha 90.00
_cell_angle_beta 124.22
_cell_angle_gamma 90.00
loop_
_atom_site_label
_atom_site_type_symbol
_atom_site_fract_x
_atom_site_fract_y
_atom_site_fract_z
Na1 Na 0.228 0.066 0.229
Tl1 Tl 0.500 0.000 0.000
V1 V 0.000 0.000 0.500
F1 F 0.034 0.203 0.937
F2 F 0.173 0.629 0.902
F3 F 0.357 0.063 0.700
```